# 1
# Zr2NbTl, optimized geometry, DFT PBE-GGA
data_Zr2NbTl
_space_group_name_H-M_alt 'I -4 2 d'
_space_group_IT_number 122
_space_group_name_Hall 'I -4 2bw'
_cell_length_a 4.1779
_cell_length_b 4.1779
_cell_length_c 21.1433
_cell_angle_alpha 90.00
_cell_angle_beta 90.00
_cell_angle_gamma 90.00
loop_
_atom_site_label
_atom_site_fract_x
_atom_site_fract_y
_atom_site_fract_z
Zr1 0.2413 0.2500 0.1250
Nb1 0.0000 0.0000 0.0000
Tl1 0.0000 0.0000 0.5000
# Distance to the lowest polymorph of the same formula in eV/atom: 0.579

---

# 2
# Zr3NbTl, optimized geometry, DFT PBE-GGA
data_Zr3NbTl
_space_group_name_H-M_alt 'P m -3 m'
_space_group_IT_number 221
_space_group_name_Hall '-P 4 2 3'
_cell_length_a 5.2701
_cell_length_b 5.2701
_cell_length_c 5.2701
_cell_angle_alpha 90.00
_cell_angle_beta 90.00
_cell_angle_gamma 90.00
loop_
_atom_site_label
_atom_site_fract_x
_atom_site_fract_y
_atom_site_fract_z
Zr1 0.0000 0.0000 0.5000
Nb1 0.5000 0.5000 0.5000
Tl1 0.0000 0.0000 0.0000
# Distance to the lowest polymorph of the same formula in eV/atom: 0.724

---

# 3
# Zr2NbTl, optimized geometry, DFT PBE-GGA
data_Zr2NbTl
_space_group_name_H-M_alt 'P 4/m m m'
_space_group_IT_number 123
_space_group_name_Hall '-P 4 2'
_cell_length_a 3.5818
_cell_length_b 3.5818
_cell_length_c 6.7972
_cell_angle_alpha 90.00
_cell_angle_beta 90.00
_cell_angle_gamma 90.00
loop_
_atom_site_label
_atom_site_fract_x
_atom_site_fract_y
_atom_site_fract_z
Zr1 0.0000 0.0000 0.2293
Nb1 0.5000 0.5000 0.0000
Tl1 0.5000 0.5000 0.5000
# Distance to the lowest polymorph of the same formula in eV/atom: 0.000

---

# 4
# Zr2NbTl, optimized geometry, DFT PBE-GGA
data_Zr2NbTl
_space_group_name_H-M_alt 'F m -3 m'
_space_group_IT_number 225
_space_group_name_Hall '-F 4 2 3'
_cell_length_a 7.0096
_cell_length_b 7.0096
_cell_length_c 7.0096
_cell_angle_alpha 90.00
_cell_angle_beta 90.00
_cell_angle_gamma 90.00
loop_
_atom_site_label
_atom_site_fract_x
_atom_site_fract_y
_atom_site_fract_z
Zr1 0.2500 0.2500 0.2500
Nb1 0.0000 0.0000 0.0000
Tl1 0.0000 0.0000 0.5000
# Distance to the lowest polymorph of the same formula in eV/atom: 0.108

---

Number 1: V 369.0 Å³ per cell, formation energy from the elements 50 kJ per mole of atoms. Number 2: V 146.4 Å³ per cell, formation energy from the elements 147 kJ per mole of atoms. Number 3: V 87.2 Å³ per cell, formation energy from the elements -6 kJ per mole of atoms. Number 4: V 344.4 Å³ per cell, formation energy from the elements 5 kJ per mole of atoms.